Record 1
Here is crystalline Hf2Tl2CuSe6 at its relaxed geometry from Alexandria via LeMat-Bulk. Energies are from PBE.

Energy: -5.3291 eV per atom
Total magnetization: 0.01 μB/f.u.
Uncorrected formation energy: -816 meV per atom
Volume: 302 Å³/f.u.
Symmetry: C2/m (12)

Unit cell a=6.7022 b=6.7022 c=8.1754 alpha=97.88 beta=97.88 gamma=121.04
Closest atoms and distances in Å follow each position.
Atoms (fractional coordinates):
Hf: 0.3298 0.6702 0.5000  6 Se 2.67-2.72
Hf: 0.6702 0.3298 0.5000  6 Se 2.67-2.72
Tl: 0.8357 0.1643 0.0000  6 Se 3.22-3.31
Tl: 0.1643 0.8357 0.0000  6 Se 3.22-3.31
Cu: 0.0000 0.0000 0.5000  6 Se 2.50-2.76
Se: 0.7460 0.7460 0.6777  1 Cu 2.50, 2 Hf 2.72
Se: 0.0715 0.4104 0.6989  2 Hf 2.67-2.69, 1 Cu 2.76
Se: 0.2540 0.2540 0.3223  1 Cu 2.50, 2 Hf 2.72
Se: 0.4104 0.0715 0.6989  2 Hf 2.67-2.69, 1 Cu 2.76
Se: 0.9285 0.5896 0.3011  2 Hf 2.67-2.69, 1 Cu 2.76
Se: 0.5896 0.9285 0.3011  2 Hf 2.67-2.69, 1 Cu 2.76



Record 2
Here is crystalline HfTlCuSe3 at its relaxed geometry from Alexandria via LeMat-Bulk. Energies are from PBE.

Energy: -5.3352 eV per atom
Total magnetization: 0.00 μB/f.u.
Uncorrected formation energy: -857 meV per atom
Volume: 146 Å³/f.u.
Symmetry: Cmcm (63)

Unit cell a=7.7108 b=7.7108 c=10.1560 alpha=90.00 beta=90.00 gamma=150.97
Closest atoms and distances in Å follow each position.
Atoms (fractional coordinates):
Hf: 0.0000 0.0000 0.5000  6 Se 2.71-2.73
Hf: 0.0000 0.0000 0.0000  6 Se 2.71-2.73
Tl: 0.7517 0.2483 0.7500  8 Se 3.37-3.59, 2 Cu 3.73
Tl: 0.2483 0.7517 0.2500  8 Se 3.37-3.59, 2 Cu 3.73
Cu: 0.5349 0.4651 0.2500  4 Se 2.43-2.46
Cu: 0.4651 0.5349 0.7500  4 Se 2.43-2.46
Se: 0.3771 0.6229 0.9511  1 Cu 2.43, 2 Hf 2.71
Se: 0.6229 0.3771 0.0489  1 Cu 2.43, 2 Hf 2.71
Se: 0.6229 0.3771 0.4511  1 Cu 2.43, 2 Hf 2.71
Se: 0.3771 0.6229 0.5489  1 Cu 2.43, 2 Hf 2.71
Se: 0.9333 0.0667 0.2500  2 Cu 2.46, 2 Hf 2.73
Se: 0.0667 0.9333 0.7500  2 Cu 2.46, 2 Hf 2.73



Record 3
Here is crystalline HfTlCu2Se4 at its relaxed geometry from Alexandria via LeMat-Bulk. Energies are from PBE.

Energy: -4.7830 eV per atom
Total magnetization: 0.00 μB/f.u.
Uncorrected formation energy: -477 meV per atom
Volume: 213 Å³/f.u.
Symmetry: I222 (23)

Unit cell a=6.4105 b=6.6201 c=6.6201 alpha=70.07 beta=61.04 gamma=61.04
Closest atoms and distances in Å follow each position.
Atoms (fractional coordinates):
Hf: 0.5000 0.5000 0.5000  4 Se 2.54
Tl: 0.0000 0.0000 0.0000  8 Se 3.25-3.58
Cu: 0.1446 0.3554 0.3554  2 Se 2.33, 1 Cu 2.53
Cu: 0.8554 0.6446 0.6446  2 Se 2.33, 1 Cu 2.53
Se: 0.4433 0.1355 0.5307  1 Cu 2.33, 1 Hf 2.54
Se: 0.1095 0.8645 0.4693  1 Cu 2.33, 1 Hf 2.54
Se: 0.8905 0.5307 0.1355  1 Cu 2.33, 1 Hf 2.54
Se: 0.5567 0.4693 0.8645  1 Cu 2.33, 1 Hf 2.54



Record 4
Here is crystalline HfCu2Si at its relaxed geometry from Alexandria via LeMat-Bulk. Energies are from PBE.

Energy: -5.8776 eV per atom
Total magnetization: 0.00 μB/f.u.
Uncorrected formation energy: 15 meV per atom
Volume: 64 Å³/f.u.
Symmetry: I-42d (122)

Unit cell a=3.7692 b=3.7692 c=9.4542 alpha=78.50 beta=78.50 gamma=90.00
Closest atoms and distances in Å follow each position.
Atoms (fractional coordinates):
Si: 0.5000 0.5000 0.0000  4 Cu 2.59, 4 Hf 2.67
Si: 0.2500 0.7500 0.5000  4 Cu 2.59, 4 Hf 2.67
Hf: 0.0000 0.0000 0.0000  4 Si 2.67, 4 Cu 2.68
Hf: 0.7500 0.2500 0.5000  4 Si 2.67, 4 Cu 2.68
Cu: 0.5919 0.1250 0.2500  2 Cu 2.49, 2 Si 2.59, 2 Hf 2.68
Cu: 0.1581 0.6250 0.2500  2 Cu 2.49, 2 Si 2.59, 2 Hf 2.68
Cu: 0.3750 0.4081 0.7500  2 Cu 2.49, 2 Si 2.59, 2 Hf 2.68
Cu: 0.8750 0.8419 0.7500  2 Cu 2.49, 2 Si 2.59, 2 Hf 2.68



Record 5
Here is crystalline HfCuSi2 at its relaxed geometry from Alexandria via LeMat-Bulk. Energies are from PBE.

Energy: -6.6251 eV per atom
Total magnetization: 0.00 μB/f.u.
Uncorrected formation energy: -401 meV per atom
Volume: 61 Å³/f.u.
Symmetry: I4/mmm (139)

Unit cell a=3.7162 b=3.7162 c=9.2834 alpha=101.55 beta=101.55 gamma=90.00
Closest atoms and distances in Å follow each position.
Atoms (fractional coordinates):
Hf: 0.1160 0.1160 0.2319  8 Si 2.76-2.78, 4 Cu 3.02
Hf: 0.8840 0.8840 0.7681  8 Si 2.76-2.78, 4 Cu 3.02
Cu: 0.7500 0.2500 0.5000  4 Si 2.41, 4 Cu 2.63
Cu: 0.2500 0.7500 0.5000  4 Si 2.41, 4 Cu 2.63
Si: 0.3366 0.3366 0.6731  4 Cu 2.41
Si: 0.6634 0.6634 0.3269  4 Cu 2.41
Si: 0.5000 0.0000 0.0000  4 Si 2.63, 4 Hf 2.78
Si: 0.0000 0.5000 0.0000  4 Si 2.63, 4 Hf 2.78



Record 6
Here is crystalline Hf4CuSi at its relaxed geometry from Alexandria via LeMat-Bulk. Energies are from PBE.

Energy: -8.6207 eV per atom
Total magnetization: 0.00 μB/f.u.
Uncorrected formation energy: -399 meV per atom
Volume: 112 Å³/f.u.
Symmetry: P4/mcc (124)

Unit cell a=5.1406 b=6.6136 c=6.6136 alpha=90.00 beta=90.00 gamma=90.00
Closest atoms and distances in Å follow each position.
Atoms (fractional coordinates):
Hf: 0.0000 0.1559 0.6547  2 Si 2.81, 2 Cu 2.82, 3 Hf 2.90-3.12
Hf: 0.0000 0.8441 0.3453  2 Si 2.81, 2 Cu 2.82, 3 Hf 2.90-3.12
Hf: 0.0000 0.3453 0.1559  2 Si 2.81, 2 Cu 2.82, 3 Hf 2.90-3.12
Hf: 0.0000 0.6547 0.8441  2 Si 2.81, 2 Cu 2.82, 3 Hf 2.90-3.12
Hf: 0.5000 0.8441 0.6547  2 Si 2.81, 2 Cu 2.82, 3 Hf 2.90-3.12
Hf: 0.5000 0.1559 0.3453  2 Si 2.81, 2 Cu 2.82, 3 Hf 2.90-3.12
Hf: 0.5000 0.6547 0.1559  2 Si 2.81, 2 Cu 2.82, 3 Hf 2.90-3.12
Hf: 0.5000 0.3453 0.8441  2 Si 2.81, 2 Cu 2.82, 3 Hf 2.90-3.12
Cu: 0.2500 0.0000 0.0000  2 Cu 2.57, 8 Hf 2.82
Cu: 0.7500 0.0000 0.0000  2 Cu 2.57, 8 Hf 2.82
Si: 0.2500 0.5000 0.5000  2 Si 2.57, 8 Hf 2.81
Si: 0.7500 0.5000 0.5000  2 Si 2.57, 8 Hf 2.81



Record 7
Here is crystalline Hf2CuSi at its relaxed geometry from Alexandria via LeMat-Bulk. Energies are from PBE.

Energy: -7.8812 eV per atom
Total magnetization: 0.00 μB/f.u.
Uncorrected formation energy: -525 meV per atom
Volume: 70 Å³/f.u.
Symmetry: P2_1/m (11)

Unit cell a=3.7151 b=5.3118 c=7.5404 alpha=110.49 beta=90.00 gamma=90.00
Closest atoms and distances in Å follow each position.
Atoms (fractional coordinates):
Hf: 0.7500 0.2077 0.4300  4 Cu 2.73-2.89, 3 Si 2.76-2.90
Hf: 0.2500 0.7923 0.5700  4 Cu 2.73-2.89, 3 Si 2.76-2.90
Hf: 0.2500 0.7956 0.0773  3 Cu 2.73-2.93, 4 Si 2.75-2.88
Hf: 0.7500 0.2044 0.9227  3 Cu 2.73-2.93, 4 Si 2.75-2.88
Cu: 0.7500 0.6471 0.2876  2 Si 2.38
Cu: 0.2500 0.3529 0.7124  2 Si 2.38
Si: 0.2500 0.3497 0.2106  2 Cu 2.38
Si: 0.7500 0.6503 0.7894  2 Cu 2.38



Record 8
Here is crystalline Hf4Cu5Si6 at its relaxed geometry from Alexandria via LeMat-Bulk. Energies are from PBE.

Energy: -6.6282 eV per atom
Total magnetization: 0.00 μB/f.u.
Uncorrected formation energy: -439 meV per atom
Volume: 236 Å³/f.u.
Symmetry: Cmc2_1 (36)

Unit cell a=3.8899 b=8.8622 c=14.0160 alpha=90.00 beta=90.00 gamma=102.68
Closest atoms and distances in Å follow each position.
Atoms (fractional coordinates):
Hf: 0.9670 0.9340 0.2652  6 Si 2.78-2.89, 5 Cu 2.79-2.89
Hf: 0.0330 0.0660 0.7652  6 Si 2.78-2.89, 5 Cu 2.79-2.89
Hf: 0.1668 0.3336 0.3054  6 Si 2.72-2.82
Hf: 0.8332 0.6664 0.8054  6 Si 2.72-2.82
Hf: 0.8218 0.6437 0.4413  6 Si 2.68-2.73
Hf: 0.1782 0.3563 0.9413  6 Si 2.68-2.73
Hf: 0.0184 0.0368 0.4995  7 Si 2.78-2.90, 3 Cu 2.86-2.97
Hf: 0.9816 0.9632 0.9995  7 Si 2.78-2.90, 3 Cu 2.86-2.97
Cu: 0.4371 0.8742 0.6860  4 Si 2.34-2.40, 1 Cu 2.49
Cu: 0.5629 0.1258 0.1860  4 Si 2.34-2.40, 1 Cu 2.49
Cu: 0.1488 0.2977 0.6251  4 Si 2.31-2.39
Cu: 0.8512 0.7023 0.1251  4 Si 2.31-2.39
Cu: 0.6473 0.2946 0.4792  4 Si 2.33-2.52
Cu: 0.3527 0.7054 0.9792  4 Si 2.33-2.52
Cu: 0.3031 0.6063 0.6204  4 Si 2.34-2.44, 1 Cu 2.49
Cu: 0.6969 0.3937 0.1204  4 Si 2.34-2.44, 1 Cu 2.49
Cu: 0.3441 0.6882 0.2762  4 Si 2.32-2.55
Cu: 0.6559 0.3118 0.7762  4 Si 2.32-2.55
Si: 0.7717 0.5435 0.2598  4 Cu 2.32-2.34
Si: 0.4296 0.8592 0.4102  1 Si 2.36, 1 Cu 2.39
Si: 0.7783 0.5565 0.9872  4 Cu 2.31-2.34
Si: 0.2217 0.4435 0.4872  4 Cu 2.31-2.34
Si: 0.4415 0.8830 0.8543  2 Cu 2.33-2.36, 1 Si 2.36
Si: 0.5585 0.1170 0.3543  2 Cu 2.33-2.36, 1 Si 2.36
Si: 0.4317 0.8634 0.1299  5 Cu 2.39-2.55
Si: 0.5683 0.1366 0.6299  5 Cu 2.39-2.55
Si: 0.1121 0.2243 0.1158  4 Cu 2.34-2.44
Si: 0.8879 0.7757 0.6158  4 Cu 2.34-2.44
Si: 0.5704 0.1408 0.9102  1 Si 2.36, 1 Cu 2.39
Si: 0.2283 0.4565 0.7598  4 Cu 2.32-2.34



Record 9
Here is crystalline HfCuSi2 at its relaxed geometry from Alexandria via LeMat-Bulk. Energies are from PBE.

Energy: -6.7001 eV per atom
Total magnetization: 0.00 μB/f.u.
Uncorrected formation energy: -476 meV per atom
Volume: 61 Å³/f.u.
Symmetry: P4/nmm (129)

Unit cell a=3.6866 b=3.6866 c=9.0122 alpha=90.00 beta=90.00 gamma=90.00
Closest atoms and distances in Å follow each position.
Atoms (fractional coordinates):
Si: 0.7500 0.7500 0.1742  4 Cu 2.42
Si: 0.2500 0.2500 0.8258  4 Cu 2.42
Si: 0.2500 0.7500 0.5000  4 Si 2.61, 4 Hf 2.80
Si: 0.7500 0.2500 0.5000  4 Si 2.61, 4 Hf 2.80
Hf: 0.2500 0.2500 0.2663  8 Si 2.74-2.80, 4 Cu 3.03
Hf: 0.7500 0.7500 0.7337  8 Si 2.74-2.80, 4 Cu 3.03
Cu: 0.7500 0.2500 0.0000  4 Si 2.42, 4 Cu 2.61
Cu: 0.2500 0.7500 0.0000  4 Si 2.42, 4 Cu 2.61



Record 10
Here is crystalline HfCuSi at its relaxed geometry from Alexandria via LeMat-Bulk. Energies are from PBE.

Energy: -7.0362 eV per atom
Total magnetization: 0.00 μB/f.u.
Uncorrected formation energy: -545 meV per atom
Volume: 46 Å³/f.u.
Symmetry: P-6m2 (187)

Unit cell a=3.3390 b=4.0070 c=4.0070 alpha=120.00 beta=90.00 gamma=90.00
Closest atoms and distances in Å follow each position.
Atoms (fractional coordinates):
Si: 0.1667 0.0000 0.0000  3 Cu 2.31
Hf: 0.6667 0.3333 0.6667  6 Cu 2.85, 6 Si 2.85
Cu: 0.1667 0.6667 0.3333  3 Si 2.31